<i>
Material: DyY8Ho6
Method: DFT, PBE
State: relaxed

Results
DOS(E_F), states/eV/atom: 1.59
Calculated volume, A^3/atom: 32.3
Total magnetization, μB per atom: 0.000

Geometry as CIF:
```
data_DyY8Ho6
_symmetry_space_group_name_H-M 'R -3'
_symmetry_Int_Tables_number 148
_symmetry_space_group_name_Hall '-R 3'
_cell_length_a 9.0272
_cell_length_b 9.0272
_cell_length_c 20.6233
_cell_angle_alpha 90.00
_cell_angle_beta 90.00
_cell_angle_gamma 120.00
loop_
_atom_site_label
_atom_site_type_symbol
_atom_site_fract_x
_atom_site_fract_y
_atom_site_fract_z
Dy1 Dy 0.0000 0.0000 0.0000
Y1 Y 0.0000 0.0000 0.4232
Y2 Y 0.0819 0.5529 0.8084
Ho1 Ho 0.0662 0.2481 0.7071
```



<ii>
Material: DyY8Ho6
Method: DFT, PBE
State: relaxed

Results
DOS(E_F), states/eV/atom: 1.55
Calculated volume, A^3/atom: 33.3
Total magnetization, μB per atom: 0.000

Geometry as CIF:
```
data_DyY8Ho6
_symmetry_space_group_name_H-M 'P -3'
_symmetry_Int_Tables_number 147
_symmetry_space_group_name_Hall '-P 3'
_cell_length_a 9.3649
_cell_length_b 9.3649
_cell_length_c 6.5744
_cell_angle_alpha 90.00
_cell_angle_beta 90.00
_cell_angle_gamma 120.00
loop_
_atom_site_label
_atom_site_type_symbol
_atom_site_fract_x
_atom_site_fract_y
_atom_site_fract_z
Dy1 Dy 0.0000 0.0000 0.0000
Y1 Y 0.0261 0.6903 0.6035
Y2 Y 0.3333 0.6667 0.3226
Ho1 Ho 0.0869 0.4087 0.9054
```



Energies relative to the most stable structure, in eV/atom: <i> 0.000; <ii> 0.116.



<i>
Material: DyY3Ho4
Method: DFT, PBE
State: relaxed

Results
DOS(E_F), states/eV/atom: 1.78
Calculated volume, A^3/atom: 32.3
Total magnetization, μB per atom: 0.000

Geometry as CIF:
```
data_DyY3Ho4
_symmetry_space_group_name_H-M 'C 1 2/m 1'
_symmetry_Int_Tables_number 12
_symmetry_space_group_name_Hall '-C 2y'
_cell_length_a 23.4102
_cell_length_b 3.4730
_cell_length_c 6.6373
_cell_angle_alpha 90.00
_cell_angle_beta 106.43
_cell_angle_gamma 90.00
loop_
_atom_site_label
_atom_site_type_symbol
_atom_site_fract_x
_atom_site_fract_y
_atom_site_fract_z
Dy1 Dy 0.0000 0.0000 0.0000
Y1 Y 0.0000 0.5000 0.5000
Y2 Y 0.1255 0.5000 0.8811
Ho1 Ho 0.1246 0.5000 0.3676
Ho2 Ho 0.2393 0.0000 0.2428
```



<ii>
Material: DyY3Ho4
Method: DFT, PBE
State: relaxed

Results
DOS(E_F), states/eV/atom: 1.71
Calculated volume, A^3/atom: 31.9
Total magnetization, μB per atom: 0.000

Geometry as CIF:
```
data_DyY3Ho4
_symmetry_space_group_name_H-M 'P m n 21'
_symmetry_Int_Tables_number 31
_symmetry_space_group_name_Hall 'P 2ac -2'
_cell_length_a 11.2191
_cell_length_b 7.2608
_cell_length_c 6.2745
_cell_angle_alpha 90.00
_cell_angle_beta 90.00
_cell_angle_gamma 90.00
loop_
_atom_site_label
_atom_site_type_symbol
_atom_site_fract_x
_atom_site_fract_y
_atom_site_fract_z
Dy1 Dy 0.0000 0.1268 0.0000
Y1 Y 0.0000 0.8739 0.4996
Y2 Y 0.2503 0.1263 0.3357
Ho1 Ho 0.0000 0.3761 0.5030
Ho2 Ho 0.0000 0.6232 0.0033
Ho3 Ho 0.2495 0.3763 0.8342
```



Energies relative to the most stable structure, in eV/atom: <i> 0.168; <ii> 0.000.